Record 1
Material: NaPaAl4
Method: DFT, PBE
State: optimized geometry

abc: 5.5435 5.5435 5.5435
angles: 60.00 60.00 60.00
Positions (direct):
Na (0.0000, 0.0000, 0.0000)
Pa (0.7500, 0.7500, 0.7500)
Al (0.3760, 0.3760, 0.3760)
Al (0.3760, 0.3760, 0.8720)
Al (0.3760, 0.8720, 0.3760)
Al (0.8720, 0.3760, 0.3760)

As for the symmetry: F-43m. The formation energy comes out at -0.002 eV/atom.


Record 2
Material: NaYIO2
Method: DFT, PBE
State: optimized geometry

abc: 4.3795 4.3795 6.4967
angles: 90.00 90.00 90.00
Positions (direct):
Na (0.0000, 0.0000, 0.0000)
Y (0.5000, 0.5000, 0.5000)
I (0.5000, 0.5000, 0.0000)
O (0.0000, 0.5000, 0.5000)
O (0.5000, 0.0000, 0.5000)

As for the symmetry: P4/mmm. The excess energy over the best structure of this formula in the dataset is 0 meV/atom. The raw formation energy is -1.69 eV per atom.


Record 3
Material: Dy3Ho5
Method: DFT, PBE
State: optimized geometry

abc: 3.6067 5.5839 12.4868
angles: 90.00 90.00 90.00
Positions (direct):
Dy (0.0000, 0.0000, 0.0000)
Dy (0.0000, 0.5000, 0.1681)
Dy (0.5000, 0.0000, 0.2509)
Ho (0.0000, 0.0000, 0.5010)
Ho (0.0000, 0.5000, 0.6675)
Ho (0.5000, 0.0000, 0.7502)
Ho (0.5000, 0.5000, 0.4184)
Ho (0.5000, 0.5000, 0.9171)

As for the symmetry: Pmm2. The formation energy comes out at 0.004 eV/atom.


Record 4
Material: Pm4TeI5
Method: DFT, PBE
State: optimized geometry

abc: 9.9546 9.9546 9.1425
angles: 102.48 102.48 25.24
Positions (direct):
Pm (0.0018, 0.0018, 0.2762)
Pm (0.3441, 0.3441, 0.4347)
Pm (0.6559, 0.6559, 0.5653)
Pm (0.9982, 0.9982, 0.7238)
Te (0.5000, 0.5000, 0.5000)
I (0.1657, 0.1657, 0.8261)
I (0.1725, 0.1725, 0.3122)
I (0.5000, 0.5000, 0.0000)
I (0.8275, 0.8275, 0.6878)
I (0.8343, 0.8343, 0.1739)

As for the symmetry: C2/m. The raw formation energy is -1.23 eV per atom.


Number 1: Fermi-level density of states 7.67 states/eV/f.u.. Number 2: Fermi-level density of states 4.40 states/eV/f.u.. Number 3: Fermi-level density of states 12.78 states/eV/f.u.. Number 4: Fermi-level density of states 3.92 states/eV/f.u..